PbN2Cl2 after structural relaxation. Source: Alexandria via LeMat-Bulk, functional PBE.

a b c (Å): 7.6132 7.6132 3.4989
angles (deg): 90.00 90.00 90.00
Closest atoms and distances in Å follow each position.
Element x y z (fractional)
Pb  0.0000  0.0000  0.0000  4 Cl 2.90, 8 N 3.22
Pb  0.5000  0.5000  0.0000  4 Cl 2.90, 8 N 3.22
N  0.2273  0.2727  0.5000  2 Cl 1.93
N  0.2727  0.7727  0.5000  2 Cl 1.93
N  0.7273  0.2273  0.5000  2 Cl 1.93
N  0.7727  0.7273  0.5000  2 Cl 1.93
Cl  0.1509  0.3491  0.0000  2 N 1.93
Cl  0.3491  0.8491  0.0000  2 N 1.93
Cl  0.6509  0.1509  0.0000  2 N 1.93
Cl  0.8491  0.6509  0.0000  2 N 1.93

The calculation puts the size of the total moment at 0.105 μB per atom. Its uncorrected formation energy is 1.41 eV per atom. The value obtained for the volume is 202.8 Å³ per cell. Its energy above the most stable polymorph in this dataset is 2090 meV/atom.

Pb2N2Cl3 after structural relaxation. Source: Alexandria via LeMat-Bulk, functional PBE.

a b c (Å): 3.6486 7.2273 8.3765
angles (deg): 94.84 99.33 94.36
Closest atoms and distances in Å follow each position.
Element x y z (fractional)
Pb  0.1355  0.1212  0.2902  1 Cl 2.67
Pb  0.8645  0.8788  0.7098  1 Cl 2.67
N  0.0347  0.4572  0.0517  1 N 1.11
N  0.9653  0.5428  0.9483  1 N 1.11
Cl  0.1438  0.7833  0.3968  1 Pb 2.67
Cl  0.5000  0.0000  0.0000  4 Pb 3.05-3.09
Cl  0.8562  0.2167  0.6032  1 Pb 2.67

The calculation puts the size of the total moment at 0.000 μB per atom. Its uncorrected formation energy is -0.58 eV per atom. The value obtained for the volume is 216.3 Å³ per cell.

PbNCl3 after structural relaxation. Source: Alexandria via LeMat-Bulk, functional PBE.

a b c (Å): 9.7606 9.7606 8.1302
angles (deg): 93.96 93.96 116.26
Closest atoms and distances in Å follow each position.
Element x y z (fractional)
Pb  0.1524  0.2387  0.1288  4 Cl 2.73-3.02
Pb  0.2387  0.1524  0.6288  4 Cl 2.73-3.02
Pb  0.7613  0.8476  0.3712  4 Cl 2.73-3.02
Pb  0.8476  0.7613  0.8712  4 Cl 2.73-3.02
N  0.2715  0.7285  0.7500  6 Cl 3.43-3.81
N  0.3187  0.6813  0.2500  2 Cl 1.70
N  0.6813  0.3187  0.7500  2 Cl 1.70
N  0.7285  0.2715  0.2500  6 Cl 3.43-3.81
Cl  0.0017  0.8223  0.5343  2 Pb 2.73-3.02
Cl  0.1230  0.6023  0.2242  1 N 1.70
Cl  0.1777  0.9983  0.9657  2 Pb 2.73-3.02
Cl  0.2701  0.3936  0.8545  2 Pb 2.77-2.80
Cl  0.3936  0.2701  0.3545  2 Pb 2.77-2.80
Cl  0.3977  0.8770  0.2758  1 N 1.70
Cl  0.6023  0.1230  0.7242  1 N 1.70
Cl  0.6064  0.7299  0.6455  2 Pb 2.77-2.80
Cl  0.7299  0.6064  0.1455  2 Pb 2.77-2.80
Cl  0.8223  0.0017  0.0343  2 Pb 2.73-3.02
Cl  0.8770  0.3977  0.7758  1 N 1.70
Cl  0.9983  0.1777  0.4657  2 Pb 2.73-3.02

The calculation puts the size of the total moment at 0.400 μB per atom. Its uncorrected formation energy is 0.09 eV per atom. The value obtained for the volume is 688.7 Å³ per cell. Its energy above the most stable polymorph in this dataset is 555 meV/atom.

> The highest size of the total moment belongs to which entry?

PbNCl3

> What is the volume in the third record?

688.7 Å³ per cell

> Which value of volume does entry 3 give?

688.7 Å³ per cell

> What is the volume in the third record?

688.7 Å³ per cell